Entry 1:
VASP calculation (PBE) on a relaxed K2TlAgCl5 crystal.

a = 4.950 Å, b = 4.950 Å, c = 11.377 Å
α = 90.00°, β = 90.00°, γ = 90.00°
Positions (direct):
1 K 0.500 0.500 0.285
2 K 0.500 0.500 0.715
3 Tl 0.000 0.000 0.000
4 Ag 0.000 0.000 0.500
5 Cl 0.000 0.500 0.500
6 Cl 0.500 0.000 0.500
7 Cl 0.000 0.000 0.742
8 Cl 0.000 0.000 0.258
9 Cl 0.500 0.500 0.000

ΔE_f (raw), eV/atom: -1.2124
Calculated density, g/cm3: 3.4
Raw total energy, hartree per atom: -0.11252
SG: No. 123

Entry 2:
VASP calculation (PBE) on a relaxed PaGaRu3 crystal.

a = 4.621 Å, b = 6.531 Å, c = 6.531 Å
α = 119.98°, β = 90.00°, γ = 90.00°
Positions (direct):
1 Pa 0.250 0.333 0.667
2 Pa 0.750 0.667 0.333
3 Ga 0.000 0.000 0.000
4 Ga 0.500 0.000 0.000
5 Ru 0.250 0.804 0.196
6 Ru 0.750 0.196 0.804
7 Ru 0.250 0.804 0.607
8 Ru 0.750 0.196 0.393
9 Ru 0.250 0.393 0.196
10 Ru 0.750 0.607 0.804

Calculated density, g/cm3: 11.7
Raw total energy, hartree per atom: -0.30193
SG: No. 194

Entry 3:
VASP calculation (PBE) on a relaxed CaZnIn crystal.

a = 6.319 Å, b = 6.319 Å, c = 3.558 Å
α = 73.65°, β = 73.65°, γ = 32.70°
Positions (direct):
1 Zn 0.677 0.677 0.323
2 Ca 0.010 0.010 0.990
3 In 0.313 0.313 0.687

Calculated density, g/cm3: 5.0
Raw total energy, hartree per atom: -0.08300
SG: No. 107

Entry 4:
VASP calculation (PBE) on a relaxed Ce6NpBi10 crystal.

a = 6.466 Å, b = 9.689 Å, c = 9.689 Å
α = 120.00°, β = 90.00°, γ = 90.00°
Positions (direct):
1 Ce 0.748 0.384 0.384
2 Ce 0.748 0.000 0.616
3 Ce 0.748 0.616 0.000
4 Ce 0.252 0.616 0.616
5 Ce 0.252 0.000 0.384
6 Ce 0.252 0.384 0.000
7 Np 0.500 0.000 0.000
8 Bi 0.763 0.732 0.732
9 Bi 0.763 0.000 0.268
10 Bi 0.763 0.268 0.000
11 Bi 0.237 0.268 0.268
12 Bi 0.237 0.000 0.732
13 Bi 0.237 0.732 0.000
14 Bi 0.500 0.333 0.667
15 Bi 0.500 0.667 0.333
16 Bi 0.000 0.667 0.333
17 Bi 0.000 0.333 0.667

Calculated density, g/cm3: 10.0
Raw total energy, hartree per atom: -0.20972
SG: No. 162

Entry 5:
VASP calculation (PBE) on a relaxed Pm2NdBrO4 crystal.

a = 4.044 Å, b = 4.044 Å, c = 9.436 Å
α = 90.00°, β = 90.00°, γ = 90.00°
Positions (direct):
1 Pm 0.500 0.500 0.259
2 Pm 0.500 0.500 0.741
3 Nd 0.000 0.000 0.000
4 Br 0.000 0.000 0.500
5 O 0.000 0.500 0.154
6 O 0.500 0.000 0.846
7 O 0.500 0.000 0.154
8 O 0.000 0.500 0.846

ΔE_f (raw), eV/atom: -3.1194
Calculated density, g/cm3: 6.2
Raw total energy, hartree per atom: -0.27897
SG: No. 123

Entry 6:
VASP calculation (PBE) on a relaxed CrCSe3 crystal.

a = 4.320 Å, b = 4.320 Å, c = 4.320 Å
α = 90.00°, β = 90.00°, γ = 90.00°
Positions (direct):
1 Cr 0.500 0.500 0.500
2 C 0.000 0.000 0.000
3 Se 0.000 0.500 0.000
4 Se 0.000 0.000 0.500
5 Se 0.500 0.000 0.000

Energy relative to the lowest polymorph listed for this composition, meV per atom: 0.0
ΔE_f (raw), eV/atom: 1.3727
Calculated density, g/cm3: 6.2
Raw total energy, hartree per atom: -0.16491
SG: No. 221

Entry 7:
VASP calculation (PBE) on a relaxed SiOs2Br crystal.

a = 3.047 Å, b = 4.396 Å, c = 4.396 Å
α = 90.00°, β = 90.00°, γ = 90.00°
Positions (direct):
1 Br 0.500 0.000 0.500
2 Os 0.000 0.000 0.000
3 Os 0.000 0.500 0.500
4 Si 0.500 0.500 0.000

Energy relative to the lowest polymorph listed for this composition, meV per atom: 504.7
ΔE_f (raw), eV/atom: 0.9715
Calculated density, g/cm3: 13.8
Raw total energy, hartree per atom: -0.23583
SG: No. 123

Entry 8:
VASP calculation (PBE) on a relaxed Li2NpAuS4 crystal.

a = 6.438 Å, b = 5.718 Å, c = 5.718 Å
α = 71.52°, β = 55.73°, γ = 55.73°
Positions (direct):
1 Li 0.000 0.500 0.500
2 Li 0.500 0.500 0.500
3 Np 0.000 0.000 0.000
4 Au 0.500 0.000 0.000
5 S 0.056 0.426 0.000
6 S 0.944 0.000 0.574
7 S 0.518 0.000 0.426
8 S 0.482 0.574 0.000

ΔE_f (raw), eV/atom: -0.7545
Calculated density, g/cm3: 6.7
Raw total energy, hartree per atom: -0.19565
SG: No. 121

Entry 9:
VASP calculation (PBE) on a relaxed DyAl2Pd3 crystal.

a = 4.362 Å, b = 4.362 Å, c = 12.724 Å
α = 90.00°, β = 90.00°, γ = 120.00°
Positions (direct):
1 Dy 0.000 0.000 0.250
2 Dy 0.000 0.000 0.750
3 Al 0.667 0.333 0.425
4 Al 0.333 0.667 0.575
5 Al 0.333 0.667 0.925
6 Al 0.667 0.333 0.075
7 Pd 0.000 0.000 0.500
8 Pd 0.000 0.000 0.000
9 Pd 0.667 0.333 0.628
10 Pd 0.333 0.667 0.128
11 Pd 0.667 0.333 0.872
12 Pd 0.333 0.667 0.372

Calculated density, g/cm3: 8.5
Raw total energy, hartree per atom: -0.20367
SG: No. 194

Entry 10:
VASP calculation (PBE) on a relaxed Be2FeAg crystal.

a = 4.535 Å, b = 4.535 Å, c = 4.163 Å
α = 73.34°, β = 73.34°, γ = 33.28°
Positions (direct):
1 Be 0.017 0.017 0.033
2 Be 0.733 0.733 0.705
3 Fe 0.485 0.485 0.570
4 Ag 0.265 0.265 0.192

Energy relative to the lowest polymorph listed for this composition, meV per atom: 188.5
Calculated density, g/cm3: 6.7
Raw total energy, hartree per atom: -0.16547
SG: No. 8

Entry 11:
VASP calculation (PBE) on a relaxed RbMgHg crystal.

a = 4.050 Å, b = 4.050 Å, c = 7.162 Å
α = 106.42°, β = 106.42°, γ = 90.00°
Positions (direct):
1 Mg 0.278 0.278 0.556
2 Hg 0.719 0.719 0.437
3 Rb 0.003 0.003 0.007

Energy relative to the lowest polymorph listed for this composition, meV per atom: 81.7
Calculated density, g/cm3: 4.8
Raw total energy, hartree per atom: -0.03762
SG: No. 107

Entry 12:
VASP calculation (PBE) on a relaxed ErLuScPd crystal.

a = 5.091 Å, b = 5.091 Å, c = 5.091 Å
α = 60.00°, β = 60.00°, γ = 60.00°
Positions (direct):
1 Sc 0.000 0.000 0.000
2 Lu 0.750 0.750 0.750
3 Pd 0.500 0.500 0.500
4 Er 0.250 0.250 0.250

Calculated density, g/cm3: 8.8
Raw total energy, hartree per atom: -0.19740
SG: No. 216

Entry 13:
VASP calculation (PBE) on a relaxed Zn3SeO crystal.

a = 4.333 Å, b = 4.333 Å, c = 4.333 Å
α = 90.00°, β = 90.00°, γ = 90.00°
Positions (direct):
1 Zn 0.000 0.500 0.000
2 Zn 0.000 0.000 0.500
3 Zn 0.500 0.000 0.000
4 O 0.000 0.000 0.000
5 Se 0.500 0.500 0.500

Energy relative to the lowest polymorph listed for this composition, meV per atom: 0.0
ΔE_f (raw), eV/atom: -0.2209
Calculated density, g/cm3: 5.9
Raw total energy, hartree per atom: -0.09826
SG: No. 221

Entry 14:
VASP calculation (PBE) on a relaxed CaThIr2 crystal.

a = 4.949 Å, b = 4.949 Å, c = 4.949 Å
α = 60.00°, β = 60.00°, γ = 60.00°
Positions (direct):
1 Ca 0.500 0.500 0.500
2 Ir 0.250 0.250 0.250
3 Ir 0.750 0.750 0.750
4 Th 0.000 0.000 0.000

Energy relative to the lowest polymorph listed for this composition, meV per atom: 31.2
Calculated density, g/cm3: 12.7
Raw total energy, hartree per atom: -0.27076
SG: No. 225

Entry 15:
VASP calculation (PBE) on a relaxed La3PuSe6 crystal.

a = 4.316 Å, b = 11.941 Å, c = 12.274 Å
α = 107.83°, β = 90.00°, γ = 90.00°
Positions (direct):
1 La 0.750 0.422 0.831
2 La 0.250 0.578 0.169
3 La 0.750 0.682 0.507
4 La 0.250 0.318 0.493
5 La 0.750 0.160 0.080
6 La 0.250 0.840 0.920
7 Pu 0.750 0.043 0.681
8 Pu 0.250 0.957 0.319
9 Se 0.750 0.478 0.614
10 Se 0.250 0.522 0.386
11 Se 0.750 0.916 0.103
12 Se 0.250 0.084 0.897
13 Se 0.750 0.406 0.071
14 Se 0.250 0.594 0.929
15 Se 0.750 0.756 0.284
16 Se 0.250 0.244 0.716
17 Se 0.750 0.107 0.458
18 Se 0.250 0.893 0.542
19 Se 0.750 0.817 0.751
20 Se 0.250 0.183 0.249

ΔE_f (raw), eV/atom: -1.8284
Calculated density, g/cm3: 6.3
Raw total energy, hartree per atom: -0.25102
SG: No. 11

Entry 16:
VASP calculation (PBE) on a relaxed MgIn2Rh2 crystal.

a = 4.570 Å, b = 6.120 Å, c = 7.876 Å
α = 112.86°, β = 106.86°, γ = 90.00°
Positions (direct):
1 Mg 0.328 0.078 0.157
2 Mg 0.672 0.922 0.843
3 In 0.664 0.414 0.829
4 In 0.002 0.752 0.504
5 In 0.998 0.248 0.496
6 In 0.336 0.586 0.171
7 Rh 0.837 0.337 0.173
8 Rh 0.837 0.836 0.173
9 Rh 0.163 0.164 0.827
10 Rh 0.163 0.663 0.827

Calculated density, g/cm3: 7.9
Raw total energy, hartree per atom: -0.17662
SG: No. 74

Entry 17:
VASP calculation (PBE) on a relaxed PrAs2PbO8 crystal.

a = 5.778 Å, b = 5.778 Å, c = 7.514 Å
α = 90.00°, β = 90.00°, γ = 120.00°
Positions (direct):
1 Pr 0.000 0.000 0.500
2 As 0.667 0.333 0.209
3 As 0.333 0.667 0.791
4 Pb 0.000 0.000 0.000
5 O 0.333 0.667 0.020
6 O 0.342 0.172 0.282
7 O 0.828 0.170 0.282
8 O 0.667 0.333 0.980
9 O 0.172 0.830 0.718
10 O 0.658 0.828 0.718
11 O 0.170 0.342 0.718
12 O 0.830 0.658 0.282

ΔE_f (raw), eV/atom: -1.5701
Calculated density, g/cm3: 4.8
Raw total energy, hartree per atom: -0.23364
SG: No. 147

Entry 18:
VASP calculation (PBE) on a relaxed BeAs2Ir crystal.

a = 7.327 Å, b = 7.327 Å, c = 7.327 Å
α = 24.54°, β = 24.54°, γ = 24.54°
Positions (direct):
1 Be 0.250 0.250 0.250
2 As 0.994 0.994 0.994
3 As 0.506 0.506 0.506
4 Ir 0.750 0.750 0.750

Calculated density, g/cm3: 9.8
Raw total energy, hartree per atom: -0.19308
SG: No. 166

Entry 19:
VASP calculation (PBE) on a relaxed Nd7Sb2C2 crystal.

a = 3.635 Å, b = 9.783 Å, c = 9.783 Å
α = 62.00°, β = 79.29°, γ = 79.29°
Positions (direct):
1 Nd 0.808 0.093 0.292
2 Nd 0.840 0.384 0.937
3 Nd 0.500 0.017 0.983
4 Nd 0.633 0.460 0.274
5 Nd 0.367 0.726 0.540
6 Nd 0.192 0.708 0.907
7 Nd 0.160 0.063 0.616
8 Sb 0.000 0.759 0.241
9 Sb 0.500 0.337 0.663
10 C 0.764 0.890 0.581
11 C 0.236 0.419 0.110

ΔE_f (raw), eV/atom: -0.3059
Calculated density, g/cm3: 7.1
Raw total energy, hartree per atom: -0.21192
SG: No. 44

Entry 20:
VASP calculation (PBE) on a relaxed Ac3TlRhO crystal.

a = 4.319 Å, b = 9.536 Å, c = 9.991 Å
α = 104.95°, β = 90.00°, γ = 90.00°
Positions (direct):
1 Ac 0.750 0.875 0.150
2 Ac 0.250 0.125 0.850
3 Ac 0.250 0.823 0.469
4 Ac 0.750 0.177 0.531
5 Ac 0.750 0.443 0.158
6 Ac 0.250 0.557 0.842
7 Tl 0.250 0.189 0.231
8 Tl 0.750 0.811 0.769
9 Rh 0.250 0.659 0.150
10 Rh 0.750 0.341 0.850
11 O 0.250 0.082 0.593
12 O 0.750 0.918 0.407

ΔE_f (raw), eV/atom: -1.2653
Calculated density, g/cm3: 8.4
Raw total energy, hartree per atom: -0.21188
SG: No. 11